1.
Below is crystalline Tb5Tl2Co at its relaxed geometry, with properties calculated at the PBE level.

Geometry as POSCAR:
```
Tb5Tl2Co
1.0
2.5981 -8.4524 0.0000
2.5981 8.4524 0.0000
0.0000 0.0000 12.4741
Tb Tl Co
10 4 2
direct
0.0810 0.9190 0.6049
0.0810 0.9190 0.8951
0.2900 0.7100 0.2500
0.2958 0.7042 0.5843
0.2958 0.7042 0.9157
0.7042 0.2958 0.0843
0.7042 0.2958 0.4157
0.7100 0.2900 0.7500
0.9190 0.0810 0.1049
0.9190 0.0810 0.3951
0.1056 0.8944 0.1344
0.1056 0.8944 0.3656
0.8944 0.1056 0.6344
0.8944 0.1056 0.8656
0.1912 0.8088 0.7500
0.8088 0.1912 0.2500
```

- formation enthalpy at 0 K (kcal/mol of atoms) = 1.8
- ρ (Mg/m³) = 7.7
- ΔE to the lowest computed polymorph (eV per atom) = 0.339
- total moment (μB/f.u.) = 0.00
- space-group type = Cmcm (63)



2.
Below is crystalline CaHgIr2 at its relaxed geometry, with properties calculated at the PBE level.

Geometry as POSCAR:
```
CaHgIr2
1.0
3.1050 0.0000 0.0000
0.0000 4.6955 0.0000
0.0000 0.0000 4.9794
Ca Hg Ir
1 1 2
direct
0.0000 0.0000 0.0000
0.5000 0.0000 0.5000
0.0000 0.5000 0.5000
0.5000 0.5000 0.0000
```

- formation enthalpy at 0 K (kcal/mol of atoms) = 4.3
- ρ (Mg/m³) = 14.3
- total moment (μB/f.u.) = 0.00
- space-group type = Pmmm (47)



3.
Below is crystalline Tm4SnTe4 at its relaxed geometry, with properties calculated at the PBE level.

Geometry as POSCAR:
```
Tm4SnTe4
1.0
7.2329 -2.1526 0.0000
7.2329 2.1526 0.0000
-5.3594 0.0000 9.2084
Tm Sn Te
4 1 4
direct
0.0954 0.0954 0.4004
0.3024 0.3024 0.1996
0.6976 0.6976 0.8004
0.9046 0.9046 0.5996
0.5000 0.5000 0.5000
0.1026 0.1026 0.9023
0.3031 0.3031 0.7014
0.6969 0.6969 0.2986
0.8974 0.8974 0.0977
```

- ρ (Mg/m³) = 7.6
- total moment (μB/f.u.) = 0.00
- formation energy from raw total energies (meV per atom) = -1204
- space-group type = C2/m (12)



4.
Below is crystalline BeV3Rh at its relaxed geometry, with properties calculated at the PBE level.

Geometry as POSCAR:
```
BeV3Rh
1.0
4.5167 0.0000 0.0000
0.0000 4.5167 0.0000
0.0000 0.0000 4.5167
Be V Rh
1 3 1
direct
0.0000 0.0000 0.0000
0.0000 0.5000 0.5000
0.5000 0.0000 0.5000
0.5000 0.5000 0.0000
0.5000 0.5000 0.5000
```

- formation enthalpy at 0 K (kcal/mol of atoms) = 30.4
- ρ (Mg/m³) = 4.8
- ΔE to the lowest computed polymorph (eV per atom) = 0.787
- total moment (μB/f.u.) = 0.35
- space-group type = Pm-3m (221)



5.
Below is crystalline CdGa2PF at its relaxed geometry, with properties calculated at the PBE level.

Geometry as POSCAR:
```
CdGa2PF
1.0
4.7824 0.0000 0.0000
0.0000 4.7824 0.0000
0.0000 0.0000 4.3783
Cd Ga P F
1 2 1 1
direct
0.0000 0.0000 0.0000
0.0000 0.5000 0.5000
0.5000 0.0000 0.5000
0.5000 0.5000 0.0000
0.5000 0.5000 0.5000
```

- ρ (Mg/m³) = 5.0
- total moment (μB/f.u.) = 0.00
- formation energy from raw total energies (meV per atom) = -48
- space-group type = P4/mmm (123)



6.
Below is crystalline FeTcSbMo2 at its relaxed geometry, with properties calculated at the PBE level.

Geometry as POSCAR:
```
FeTcSbMo2
1.0
4.7172 0.0000 0.0000
0.0000 4.7172 0.0000
0.0000 0.0000 4.9677
Fe Tc Sb Mo
1 1 1 2
direct
0.0000 0.0000 0.0000
0.5000 0.5000 0.5000
0.5000 0.5000 0.0000
0.0000 0.5000 0.5000
0.5000 0.0000 0.5000
```

- ρ (Mg/m³) = 7.0
- total moment (μB/f.u.) = 1.83
- formation energy from raw total energies (meV per atom) = 1632
- space-group type = P4/mmm (123)